A relaxed CsAlTc2 crystal, computed with PBE.

Cell lengths 4.6078, 4.6078, 18.3502 Å; angles 90.00, 90.00, 90.00 degrees
Sites, in units of the cell vectors:
Cs1 0.0000 0.0000 0.0000
Cs2 0.0000 0.5000 0.2500
Cs3 0.5000 0.0000 0.7500
Cs4 0.5000 0.5000 0.5000
Al1 0.0000 0.0000 0.5000
Al2 0.0000 0.5000 0.7500
Al3 0.5000 0.0000 0.2500
Al4 0.5000 0.5000 0.0000
Tc1 0.1091 0.2500 0.6250
Tc2 0.2500 0.6091 0.8750
Tc3 0.2500 0.8909 0.3750
Tc4 0.3909 0.2500 0.1250
Tc5 0.6091 0.7500 0.1250
Tc6 0.7500 0.1091 0.3750
Tc7 0.7500 0.3909 0.8750
Tc8 0.8909 0.7500 0.6250

Calculated values
* formation enthalpy at 0 K: 1294 meV per atom
* Fermi-level density of states: 18.59 states/eV per cell
* space-group type: I-42d (122)
* total DFT energy (no corrections): -80.62 eV for the cell shown

A relaxed TmCoB2Os crystal, computed with PBE.

Cell lengths 3.7504, 3.7504, 9.2613 Å; angles 90.00, 90.00, 90.00 degrees
Sites, in units of the cell vectors:
Tm1 0.0000 0.0000 0.0000
Tm2 0.5000 0.5000 0.5000
Co1 0.0000 0.5000 0.2500
Co2 0.5000 0.0000 0.7500
B1 0.0000 0.0000 0.3477
B2 0.0000 0.0000 0.6523
B3 0.5000 0.5000 0.1523
B4 0.5000 0.5000 0.8477
Os1 0.0000 0.5000 0.7500
Os2 0.5000 0.0000 0.2500

Calculated values
* formation enthalpy at 0 K: -506 meV per atom
* Fermi-level density of states: 2.43 states/eV per cell
* space-group type: I-4m2 (119)
* total DFT energy (no corrections): -77.38 eV for the cell shown

> Among the records above, which one has the highest Fermi-level density of states?

CsAlTc2